No. 1
## YEr3In4Te8 (PBE)

Data for a relaxed YEr3In4Te8 crystal.

```
YEr3In4Te8
1.0
-2.0744 -3.9487 -7.5700
0.7271 -8.5387 4.2548
-5.5189 5.8295 3.5707
Y Er In Te
1 3 4 8
Direct
0.0000 0.5000 0.0000
0.5000 0.5000 0.0000
0.5000 0.5000 0.5000
0.0000 0.5000 0.5000
0.5000 0.0000 0.0000
0.5000 0.0000 0.5000
0.0000 0.0000 0.0000
0.0000 0.0000 0.5000
0.2403 0.7177 0.9774
0.2403 0.7177 0.4806
0.2612 0.2836 0.5224
0.7371 0.7177 0.9774
0.2629 0.2823 0.0226
0.7388 0.7164 0.4776
0.7597 0.2823 0.5194
0.7597 0.2823 0.0226
```

Output
E_tot in eV/atom: -4.48
DOS(E_F) in states/eV/atom: 0.043
Formation energy (no corrections) in meV/atom: -962

---

No. 2
## Er3ThIn4 (PBE)

Data for a relaxed Er3ThIn4 crystal.

```
Er3ThIn4
1.0
5.5502 0.0000 0.0000
0.0000 7.1669 0.0000
0.0000 0.0000 10.7690
In Th Er
8 2 6
Direct
0.5000 0.7628 0.0000
0.5000 0.7628 0.5000
0.5000 0.2372 0.0000
0.5000 0.2372 0.5000
0.0982 0.7623 0.7500
0.9018 0.7623 0.2500
0.9018 0.2377 0.2500
0.0982 0.2377 0.7500
0.0000 0.5000 0.0000
0.0000 0.5000 0.5000
0.0000 0.0000 0.0000
0.0000 0.0000 0.5000
0.5945 0.0000 0.7500
0.4055 0.0000 0.2500
0.5840 0.5000 0.7500
0.4160 0.5000 0.2500
```

Output
Calculated formation energy in eV/atom: -0.38
E_tot in eV/atom: -4.39
DOS(E_F) in states/eV/atom: 0.599

---

No. 3
## ErTh2In9 (PBE)

Data for a relaxed ErTh2In9 crystal.

```
ErTh2In9
1.0
4.7077 0.0000 0.0000
0.0000 4.7077 0.0000
0.0000 0.0000 14.0652
Er Th In
1 2 9
Direct
0.0000 0.0000 0.0000
0.0000 0.0000 0.3298
0.0000 0.0000 0.6702
0.5000 0.5000 0.0000
0.5000 0.5000 0.3315
0.5000 0.5000 0.6685
0.5000 0.0000 0.1603
0.5000 0.0000 0.5000
0.5000 0.0000 0.8397
0.0000 0.5000 0.1603
0.0000 0.5000 0.5000
0.0000 0.5000 0.8397
```

Output
Calculated formation energy in eV/atom: -0.36
E_tot in eV/atom: -4.03
DOS(E_F) in states/eV/atom: 0.477